# KBaAuI (PBE, optimized geometry)
# * calculated total energy: -0.106 Ha/atom
# * density of states at the Fermi level: 7.1 states/eV per cell
# * uncorrected formation energy: -927 meV/atom
data_KBaAuI
_chemical_formula_sum 'K3 Ba3 Au3 I3'
_space_group_name_H-M_alt 'R 3 m'
_space_group_IT_number 160
_space_group_name_Hall 'R 3 -2"'
_cell_length_a 4.7728
_cell_length_b 4.7728
_cell_length_c 26.1859
_cell_angle_alpha 90.00
_cell_angle_beta 90.00
_cell_angle_gamma 120.00
loop_
_atom_site_label
_atom_site_type_symbol
_atom_site_fract_x
_atom_site_fract_y
_atom_site_fract_z
K1 K 0.0000 0.0000 0.0000
Ba1 Ba 0.0000 0.0000 0.1869
Au1 Au 0.0000 0.0000 0.5873
I1 I 0.0000 0.0000 0.4273